(1)
Material: BaBeCr2
Method: DFT, SCAN
State: single point on PBEsol structure

POSCAR file:
```
BaBeCr2
1.0
3.139 0.000 0.000
0.000 3.690 0.000
-1.546 0.000 6.706
Ba Be Cr
1 1 2
direct
0.000 0.000 0.000
0.651 0.500 0.308
0.280 0.500 0.569
0.753 0.000 0.514
```

Formation energy ... 540 meV per atom
Density of states at the Fermi level ... 0.6198 states/eV/atom

(2)
Material: Ba2BeCrIn
Method: DFT, SCAN
State: single point on PBEsol structure

POSCAR file:
```
Ba2BeCrIn
1.0
6.156 0.000 0.000
0.000 6.156 0.000
0.000 0.000 4.516
Ba Be Cr In
2 1 1 1
direct
0.000 0.500 0.000
0.500 0.000 0.000
0.000 0.000 0.000
0.500 0.500 0.500
0.000 0.000 0.500
```

Formation energy ... 256 meV per atom
Density of states at the Fermi level ... 0.2913 states/eV/atom

(3)
Material: CsBa3Be
Method: DFT, SCAN
State: single point on PBEsol structure

POSCAR file:
```
CsBa3Be
1.0
6.547 0.000 0.000
0.000 6.547 0.000
0.000 0.000 6.547
Cs Ba Be
1 3 1
direct
0.000 0.000 0.000
0.000 0.500 0.500
0.500 0.000 0.500
0.500 0.500 0.000
0.500 0.500 0.500
```

Formation energy ... 348 meV per atom
Density of states at the Fermi level ... 1.2766 states/eV/atom

(4)
Material: BaBe4Cu
Method: DFT, SCAN
State: single point on PBEsol structure

POSCAR file:
```
BaBe4Cu
1.0
0.000 3.502 3.502
3.502 0.000 3.502
3.502 3.502 0.000
Ba Be Cu
1 4 1
direct
0.000 0.000 0.000
0.385 0.385 0.385
0.385 0.385 0.845
0.385 0.845 0.385
0.845 0.385 0.385
0.750 0.750 0.750
```

Formation energy ... 668 meV per atom
Density of states at the Fermi level ... 0.2924 states/eV/atom

(5)
Material: Ba2Be2Cu
Method: DFT, SCAN
State: single point on PBEsol structure

POSCAR file:
```
Ba2Be2Cu
1.0
-3.037 3.037 3.418
3.037 -3.037 3.418
3.037 3.037 -3.418
Ba Be Cu
2 2 1
direct
0.250 0.750 0.500
0.750 0.250 0.500
0.150 0.150 0.000
0.850 0.850 0.000
0.500 0.500 0.000
```

Formation energy ... 499 meV per atom
Density of states at the Fermi level ... 0.8520 states/eV/atom

(6)
Material: Ba2BeCu
Method: DFT, SCAN
State: single point on PBEsol structure

POSCAR file:
```
Ba2BeCu
1.0
4.419 0.000 0.000
0.000 2.575 4.908
0.000 -2.575 4.908
Ba Be Cu
2 1 1
direct
0.000 0.000 0.000
0.500 0.325 0.325
0.000 0.675 0.675
0.500 0.650 0.650
```

Formation energy ... 216 meV per atom
Density of states at the Fermi level ... 1.0744 states/eV/atom

(7)
Material: RbBa2BeCu
Method: DFT, SCAN
State: single point on PBEsol structure

POSCAR file:
```
RbBa2BeCu
1.0
6.076 0.000 0.000
0.000 6.076 0.000
0.000 0.000 6.115
Rb Ba Be Cu
1 2 1 1
direct
0.000 0.000 0.000
0.000 0.500 0.500
0.500 0.000 0.500
0.000 0.000 0.500
0.500 0.500 0.000
```

Formation energy ... 746 meV per atom
Density of states at the Fermi level ... 0.6463 states/eV/atom

(8)
Material: BaBeF4
Method: DFT, SCAN
State: single point on PBEsol structure

POSCAR file:
```
BaBeF4
1.0
8.852 0.000 0.000
0.000 5.261 0.000
0.000 0.000 7.020
Ba Be F
4 4 16
direct
0.187 0.250 0.154
0.313 0.750 0.654
0.687 0.250 0.346
0.813 0.750 0.846
0.054 0.250 0.692
0.446 0.750 0.192
0.554 0.250 0.808
0.946 0.750 0.308
0.080 0.011 0.820
0.080 0.489 0.820
0.111 0.750 0.375
0.177 0.250 0.534
0.323 0.750 0.034
0.389 0.250 0.875
0.420 0.511 0.320
0.420 0.989 0.320
0.580 0.011 0.680
0.580 0.489 0.680
0.611 0.750 0.125
0.677 0.250 0.966
0.823 0.750 0.466
0.889 0.250 0.625
0.920 0.511 0.180
0.920 0.989 0.180
```

Density of states at the Fermi level ... 0.0000 states/eV/atom
Energy relative to the elements, uncorrected ... -3886 meV per atom

(9)
Material: BaBe2MoF
Method: DFT, SCAN
State: single point on PBEsol structure

POSCAR file:
```
BaBe2MoF
1.0
4.077 0.000 0.000
0.000 4.077 0.000
0.000 0.000 4.847
Ba Be Mo F
1 2 1 1
direct
0.000 0.000 0.000
0.000 0.500 0.500
0.500 0.000 0.500
0.500 0.500 0.000
0.000 0.000 0.500
```

Density of states at the Fermi level ... 0.5135 states/eV/atom
Energy relative to the elements, uncorrected ... 567 meV per atom

(10)
Material: BaBeNF2
Method: DFT, SCAN
State: single point on PBEsol structure

POSCAR file:
```
BaBeNF2
1.0
4.931 0.000 0.000
0.000 4.931 0.000
0.000 0.000 5.542
Ba Be N F
1 1 1 2
direct
0.000 0.000 0.000
0.500 0.500 0.500
0.000 0.000 0.500
0.000 0.500 0.000
0.500 0.000 0.000
```

Density of states at the Fermi level ... 0.0821 states/eV/atom
Energy relative to the elements, uncorrected ... -495 meV per atom

(11)
Material: BaBeO2F
Method: DFT, SCAN
State: single point on PBEsol structure

POSCAR file:
```
BaBeO2F
1.0
3.649 0.000 0.000
0.000 3.649 0.000
0.000 0.000 4.343
Ba Be O F
1 1 2 1
direct
0.000 0.000 0.000
0.500 0.500 0.500
0.000 0.500 0.500
0.500 0.000 0.500
0.500 0.500 0.000
```

Density of states at the Fermi level ... 0.1276 states/eV/atom
Energy relative to the elements, uncorrected ... -2560 meV per atom

(12)
Material: BaBeOF2
Method: DFT, SCAN
State: single point on PBEsol structure

POSCAR file:
```
BaBeOF2
1.0
4.156 0.000 0.000
0.000 4.156 0.000
0.000 0.000 3.371
Ba Be O F
1 1 1 2
direct
0.000 0.000 0.000
0.500 0.500 0.500
0.500 0.500 0.000
0.000 0.500 0.500
0.500 0.000 0.500
```

Density of states at the Fermi level ... 0.0000 states/eV/atom
Energy relative to the elements, uncorrected ... -3173 meV per atom

(13)
Material: BaBe2ZnF
Method: DFT, SCAN
State: single point on PBEsol structure

POSCAR file:
```
BaBe2ZnF
1.0
6.231 0.000 0.000
0.000 6.231 0.000
0.000 0.000 4.782
Ba Be Zn F
1 2 1 1
direct
0.000 0.000 0.000
0.000 0.500 0.000
0.500 0.000 0.000
0.500 0.500 0.500
0.000 0.000 0.500
```

Density of states at the Fermi level ... 0.5051 states/eV/atom
Energy relative to the elements, uncorrected ... 493 meV per atom